1.
Entry from Alexandria via LeMat-Bulk: an optimized crystal structure of Nd4InPt (PBE).

a b c (Å): 14.2134 14.2134 14.2134
angles (deg): 90.00 90.00 90.00
Last column: nearest neighbours and their distance in Å.
Space group F-43m (No. 216)
Symmetry-distinct sites (fractional):
Nd 0.0000 0.0000 0.1868  2 In 3.40, 2 Pt 3.64, 10 Nd 3.64-3.75
Nd 0.0569 0.2500 0.7500  2 Pt 2.96
Nd 0.1005 0.1005 0.3995  3 Pt 2.95
In 0.1688 0.1688 0.1688  3 In 3.26, 9 Nd 3.40-3.60
Pt 0.1070 0.1070 0.6070  6 Nd 2.95-2.96

Crystal system: cubic
Relative energy among the computed polymorphs, kJ/mol of atoms: 0.0

=====

2.
Entry from Alexandria via LeMat-Bulk: an optimized crystal structure of LaHfSi3 (PBE).

a b c (Å): 4.9820 4.9820 4.9820
angles (deg): 90.00 90.00 90.00
Last column: nearest neighbours and their distance in Å.
Space group Pm-3m (No. 221)
Symmetry-distinct sites (fractional):
La 0.0000 0.0000 0.0000  12 Si 3.52
Hf 0.5000 0.5000 0.5000  6 Si 2.49
Si 0.0000 0.5000 0.5000  2 Hf 2.49

Crystal system: cubic
Formation energy (no corrections), kJ/mol of formula units: -7

=====

3.
Entry from Alexandria via LeMat-Bulk: an optimized crystal structure of TlCoBr2 (PBE).

a b c (Å): 5.0722 3.8677 6.8321
angles (deg): 90.00 111.05 90.00
Last column: nearest neighbours and their distance in Å.
Space group Pm (No. 6)
Symmetry-distinct sites (fractional):
Tl 0.0000 0.0000 0.0000  4 Co 3.20-3.47, 4 Br 3.34-3.58
Co 0.6076 0.5000 0.1505  3 Br 2.33-2.43
Br 0.3641 0.5000 0.7892  1 Co 2.33
Br 0.6583 0.0000 0.3756  2 Co 2.43

Crystal system: monoclinic
Formation energy (no corrections), kJ/mol of formula units: -79
Relative energy among the computed polymorphs, kJ/mol of atoms: 4.4

=====

4.
Entry from Alexandria via LeMat-Bulk: an optimized crystal structure of Na2CdBi (PBE).

a b c (Å): 7.5793 7.5793 7.5793
angles (deg): 90.00 90.00 90.00
Last column: nearest neighbours and their distance in Å.
Space group Fm-3m (No. 225)
Symmetry-distinct sites (fractional):
Na 0.2500 0.2500 0.2500  4 Cd 3.28, 4 Bi 3.28
Cd 0.0000 0.0000 0.0000  8 Na 3.28
Bi 0.0000 0.0000 0.5000  8 Na 3.28

Crystal system: cubic
Relative energy among the computed polymorphs, kJ/mol of atoms: 2.5

=====

5.
Entry from Alexandria via LeMat-Bulk: an optimized crystal structure of Th3Ir2Pd (PBE).

a b c (Å): 13.1704 5.8648 8.3232
angles (deg): 90.00 108.49 90.00
Last column: nearest neighbours and their distance in Å.
Space group C2/c (No. 15)
Symmetry-distinct sites (fractional):
Th 0.0000 0.9996 0.2500  4 Ir 2.91-2.92, 2 Pd 2.93
Th 0.1756 0.5004 0.0880  4 Ir 2.89-2.94, 2 Pd 3.02
Ir 0.1635 0.0004 0.0816  6 Th 2.89-2.94
Pd 0.0000 0.4996 0.2500  6 Th 2.93-3.02

Crystal system: monoclinic
VASP energy, eV per atom: -8.458

=====

6.
Entry from Alexandria via LeMat-Bulk: an optimized crystal structure of InNi2Os (PBE).

a b c (Å): 2.7967 4.4637 8.9565
angles (deg): 90.00 90.00 90.00
Last column: nearest neighbours and their distance in Å.
Space group Imm2 (No. 44)
Symmetry-distinct sites (fractional):
In 0.0000 0.0000 0.0000  6 Ni 2.64-2.66, 2 In 2.80, 2 Os 2.84
Ni 0.0000 0.0000 0.4833  2 Ni 2.49, 2 Os 2.57, 4 In 2.64
Ni 0.0000 0.5000 0.7529  2 Ni 2.49, 4 Os 2.65, 2 In 2.66
Os 0.0000 0.5000 0.2243  6 Ni 2.57-2.65, 2 Os 2.80, 2 In 2.84

Crystal system: orthorhombic
VASP energy, eV per atom: -6.125

=====

Number 1: density 8.206 g/cm3. Number 2: density 5.394 g/cm3. Number 3: density 5.617 g/cm3. Number 4: density 5.604 g/cm3. Number 5: density 12.931 g/cm3. Number 6: density 12.547 g/cm3.